A plane-wave DFT calculation with PBE was carried out for a relaxed structure of YBePt3.

It has space group Pmmn (No. 59, origin choice 2), with a = 3.7329 Å, b = 7.0499 Å, c = 6.9903 Å, α = 90.00°, β = 90.00° and γ = 90.00°. The inequivalent atoms are Y at (0.2500, 0.2500, 0.1323), Be at (0.2500, 0.7500, 0.2165), Pt at (0.2500, 0.0628, 0.7352) and Pt at (0.2500, 0.7500, 0.5415).

The value obtained for the energy of formation is -614 meV/atom. The energy above the lowest structure with this stoichiometry is 342 meV/atom.